[1]
## La4TbPr (PBE-GGA)

Data for La4TbPr after structural relaxation. Values from VASP.

The structure in Quantum ESPRESSO input format:
```
&SYSTEM
  ibrav = 0, nat = 6, ntyp = 3
/
ATOMIC_SPECIES
La 138.91 La.upf
Pr 140.91 Pr.upf
Tb 158.93 Tb.upf
ATOMIC_POSITIONS crystal
La 0.340 0.340 0.999
La 0.841 0.841 0.501
La 0.159 0.159 0.499
La 0.660 0.660 0.001
Pr 0.500 0.500 0.500
Tb 0.000 0.000 0.000
CELL_PARAMETERS angstrom
6.368 0.397 0.934
3.045 5.607 0.934
-0.858 -0.547 6.088
```

Summary:
**Energy**: -0.1748 Ha/atom
**SG**: No. 65
**Offset from the most stable computed form**: 7.7 kJ per mole of atoms
**Formation energy from the elements**: 0.097 eV per atom

[2]
## La2TbPr3 (PBE-GGA)

Data for La2TbPr3 after structural relaxation. Values from VASP.

The structure in Quantum ESPRESSO input format:
```
&SYSTEM
  ibrav = 0, nat = 12, ntyp = 3
/
ATOMIC_SPECIES
Pr 140.91 Pr.upf
Tb 158.93 Tb.upf
La 138.91 La.upf
ATOMIC_POSITIONS crystal
Pr 0.500 0.756 0.830
Pr 0.000 0.000 0.000
Pr 0.000 0.256 0.670
Pr 0.500 0.244 0.170
Pr 0.000 0.744 0.330
Pr 0.500 0.500 0.500
Tb 0.000 0.000 0.500
Tb 0.500 0.500 0.000
La 0.000 0.256 0.340
La 0.000 0.744 0.660
La 0.500 0.244 0.840
La 0.500 0.756 0.160
CELL_PARAMETERS angstrom
3.472 0.000 0.000
0.000 6.973 0.000
0.000 0.000 17.804
```

Summary:
**Energy**: -0.1682 Ha/atom
**SG**: No. 58
**Offset from the most stable computed form**: 10.3 kJ per mole of atoms
**Formation energy from the elements**: 0.226 eV per atom

[3]
## La3TbPr (PBE-GGA)

Data for La3TbPr after structural relaxation. Values from VASP.

The structure in Quantum ESPRESSO input format:
```
&SYSTEM
  ibrav = 0, nat = 10, ntyp = 3
/
ATOMIC_SPECIES
Tb 158.93 Tb.upf
La 138.91 La.upf
Pr 140.91 Pr.upf
ATOMIC_POSITIONS crystal
Tb 0.703 0.184 0.249
Tb 0.297 0.816 0.751
La 0.880 0.812 0.155
La 0.120 0.188 0.845
La 0.476 0.813 0.336
La 0.300 0.461 0.614
La 0.524 0.187 0.664
La 0.700 0.539 0.386
Pr 0.000 0.500 0.000
Pr 0.000 0.000 0.000
CELL_PARAMETERS angstrom
6.259 -0.080 -2.393
-1.250 11.559 -3.150
-1.296 -2.264 6.173
```

Summary:
**Energy**: -0.1731 Ha/atom
**SG**: No. 2
**Offset from the most stable computed form**: 0.0 kJ per mole of atoms
**Formation energy from the elements**: 0.129 eV per atom

[4]
## La7Tb2Pr3 (PBE-GGA)

Data for La7Tb2Pr3 after structural relaxation. Values from VASP.

The structure in Quantum ESPRESSO input format:
```
&SYSTEM
  ibrav = 0, nat = 12, ntyp = 3
/
ATOMIC_SPECIES
La 138.91 La.upf
Pr 140.91 Pr.upf
Tb 158.93 Tb.upf
ATOMIC_POSITIONS crystal
La 0.500 0.768 0.491
La 0.500 0.232 0.509
La 0.000 0.440 0.831
La 0.000 0.000 0.000
La 0.000 0.560 0.169
La 0.500 0.049 0.171
La 0.500 0.951 0.829
Pr 0.000 0.882 0.664
Pr 0.500 0.500 0.000
Pr 0.000 0.118 0.336
Tb 0.500 0.389 0.669
Tb 0.500 0.611 0.331
CELL_PARAMETERS angstrom
3.618 0.000 0.000
0.000 6.566 0.800
0.000 2.523 18.447
```

Summary:
**Energy**: -0.1756 Ha/atom
**SG**: No. 10
**Offset from the most stable computed form**: 0.0 kJ per mole of atoms
**Formation energy from the elements**: 0.063 eV per atom

[5]
## LaTbPr (PBE-GGA)

Data for LaTbPr after structural relaxation. Values from VASP.

The structure in Quantum ESPRESSO input format:
```
&SYSTEM
  ibrav = 0, nat = 6, ntyp = 3
/
ATOMIC_SPECIES
Pr 140.91 Pr.upf
Tb 158.93 Tb.upf
La 138.91 La.upf
ATOMIC_POSITIONS crystal
Pr 0.500 0.801 0.750
Pr 0.500 0.199 0.250
Tb 0.000 0.500 0.500
Tb 0.000 0.500 0.000
La 0.000 0.847 0.250
La 0.000 0.153 0.750
CELL_PARAMETERS angstrom
3.511 0.000 0.000
0.000 9.089 0.000
0.000 0.000 6.632
```

Summary:
**Energy**: -0.1700 Ha/atom
**SG**: No. 51
**Offset from the most stable computed form**: 13.1 kJ per mole of atoms
**Formation energy from the elements**: 0.154 eV per atom

[6]
## LaTbPr2Te5 (PBE-GGA)

Data for LaTbPr2Te5 after structural relaxation. Values from VASP.

The structure in Quantum ESPRESSO input format:
```
&SYSTEM
  ibrav = 0, nat = 9, ntyp = 4
/
ATOMIC_SPECIES
Pr 140.91 Pr.upf
Te 127.60 Te.upf
Tb 158.93 Tb.upf
La 138.91 La.upf
ATOMIC_POSITIONS crystal
Pr 0.500 0.500 0.343
Pr 0.500 0.500 0.657
Te 0.000 0.000 0.750
Te 0.500 0.000 0.500
Te 0.000 0.000 0.250
Te 0.500 0.500 0.000
Te 0.000 0.500 0.500
Tb 0.000 0.000 0.500
La 0.000 0.000 0.000
CELL_PARAMETERS angstrom
-2.642 2.859 3.984
3.823 -1.634 3.708
6.576 9.620 -2.541
```

Summary:
**Energy**: -0.1758 Ha/atom
**SG**: No. 123
**E_form (uncorrected)**: -914.4 meV per atom

[7]
## LaTb2Pr3Te6 (PBE-GGA)

Data for LaTb2Pr3Te6 after structural relaxation. Values from VASP.

The structure in Quantum ESPRESSO input format:
```
&SYSTEM
  ibrav = 0, nat = 12, ntyp = 4
/
ATOMIC_SPECIES
Te 127.60 Te.upf
La 138.91 La.upf
Pr 140.91 Pr.upf
Tb 158.93 Tb.upf
ATOMIC_POSITIONS crystal
Te 0.330 0.425 0.660
Te 0.670 0.575 0.340
Te 0.995 0.746 0.990
Te 0.330 0.907 0.661
Te 0.005 0.254 0.010
Te 0.670 0.093 0.339
La 0.500 0.000 0.000
Pr 0.838 0.170 0.675
Pr 0.500 0.500 0.000
Pr 0.162 0.830 0.325
Tb 0.834 0.668 0.667
Tb 0.166 0.332 0.333
CELL_PARAMETERS angstrom
4.460 0.000 0.000
0.000 9.037 0.301
-2.230 -2.626 9.434
```

Summary:
**Energy**: -0.1974 Ha/atom
**SG**: No. 12
**E_form (uncorrected)**: -1423.3 meV per atom

[8]
## La3Tb3PrTe8 (PBE-GGA)

Data for La3Tb3PrTe8 after structural relaxation. Values from VASP.

The structure in Quantum ESPRESSO input format:
```
&SYSTEM
  ibrav = 0, nat = 15, ntyp = 4
/
ATOMIC_SPECIES
Te 127.60 Te.upf
La 138.91 La.upf
Tb 158.93 Tb.upf
Pr 140.91 Pr.upf
ATOMIC_POSITIONS crystal
Te 0.267 0.010 0.253
Te 0.743 0.485 0.253
Te 0.257 0.515 0.747
Te 0.743 0.010 0.253
Te 0.257 0.990 0.747
Te 0.745 0.490 0.736
Te 0.255 0.510 0.264
Te 0.733 0.990 0.747
La 0.000 0.500 0.000
La 0.000 0.000 0.000
La 0.500 0.500 0.000
Tb 0.500 0.000 0.500
Tb 0.500 0.500 0.500
Tb 0.000 0.500 0.500
Pr 0.000 0.000 0.500
CELL_PARAMETERS angstrom
-3.143 -8.078 -2.007
2.094 1.995 8.414
-7.197 3.745 -3.801
```

Summary:
**Energy**: -0.1985 Ha/atom
**SG**: No. 166
**E_form (uncorrected)**: -1494.5 meV per atom

[9]
## La3TbPr4Te8 (PBE-GGA)

Data for La3TbPr4Te8 after structural relaxation. Values from VASP.

The structure in Quantum ESPRESSO input format:
```
&SYSTEM
  ibrav = 0, nat = 16, ntyp = 4
/
ATOMIC_SPECIES
Te 127.60 Te.upf
Pr 140.91 Pr.upf
La 138.91 La.upf
Tb 158.93 Tb.upf
ATOMIC_POSITIONS crystal
Te 0.755 0.253 0.510
Te 0.755 0.253 0.999
Te 0.249 0.248 0.499
Te 0.245 0.747 0.490
Te 0.245 0.747 0.001
Te 0.756 0.747 0.001
Te 0.751 0.752 0.501
Te 0.244 0.253 0.999
Pr 0.000 0.000 0.000
Pr 0.500 0.000 0.000
Pr 0.500 0.000 0.500
Pr 0.000 0.000 0.500
La 0.500 0.500 0.000
La 0.000 0.500 0.500
La 0.500 0.500 0.500
Tb 0.000 0.500 0.000
CELL_PARAMETERS angstrom
9.075 0.000 0.000
0.000 9.059 -0.022
-4.537 -4.536 6.422
```

Summary:
**Energy**: -0.2006 Ha/atom
**SG**: No. 166
**E_form (uncorrected)**: -1478.7 meV per atom

[10]
## LaTb3Pr2Te6 (PBE-GGA)

Data for LaTb3Pr2Te6 after structural relaxation. Values from VASP.

The structure in Quantum ESPRESSO input format:
```
&SYSTEM
  ibrav = 0, nat = 12, ntyp = 4
/
ATOMIC_SPECIES
Pr 140.91 Pr.upf
Tb 158.93 Tb.upf
Te 127.60 Te.upf
La 138.91 La.upf
ATOMIC_POSITIONS crystal
Pr 0.168 0.337 0.337
Pr 0.832 0.663 0.663
Tb 0.167 0.833 0.334
Tb 0.500 0.500 0.000
Tb 0.833 0.167 0.666
Te 0.002 0.741 0.005
Te 0.663 0.591 0.326
Te 0.670 0.077 0.340
Te 0.998 0.259 0.995
Te 0.330 0.923 0.660
Te 0.337 0.409 0.674
La 0.500 0.000 0.000
CELL_PARAMETERS angstrom
-2.415 -1.682 3.305
0.153 -8.066 -3.994
9.087 0.861 4.116
```

Summary:
**Energy**: -0.1963 Ha/atom
**SG**: No. 12
**E_form (uncorrected)**: -1406.2 meV per atom

[11]
## La4TbPr3Te8 (PBE-GGA)

Data for La4TbPr3Te8 after structural relaxation. Values from VASP.

The structure in Quantum ESPRESSO input format:
```
&SYSTEM
  ibrav = 0, nat = 16, ntyp = 4
/
ATOMIC_SPECIES
La 138.91 La.upf
Te 127.60 Te.upf
Pr 140.91 Pr.upf
Tb 158.93 Tb.upf
ATOMIC_POSITIONS crystal
La 0.000 0.000 0.500
La 0.500 0.000 0.000
La 0.500 0.000 0.500
La 0.000 0.000 0.000
Te 0.749 0.748 0.499
Te 0.245 0.743 0.489
Te 0.755 0.257 0.001
Te 0.754 0.743 0.999
Te 0.755 0.257 0.511
Te 0.245 0.743 0.999
Te 0.251 0.252 0.501
Te 0.246 0.257 0.001
Pr 0.500 0.500 0.000
Pr 0.000 0.500 0.500
Pr 0.500 0.500 0.500
Tb 0.000 0.500 0.000
CELL_PARAMETERS angstrom
9.101 0.000 0.000
0.000 9.054 -0.032
-4.551 -4.541 6.435
```

Summary:
**Energy**: -0.2017 Ha/atom
**SG**: No. 166
**E_form (uncorrected)**: -1500.4 meV per atom

[12]
## La2TbPr3Te6 (PBE-GGA)

Data for La2TbPr3Te6 after structural relaxation. Values from VASP.

The structure in Quantum ESPRESSO input format:
```
&SYSTEM
  ibrav = 0, nat = 12, ntyp = 4
/
ATOMIC_SPECIES
Pr 140.91 Pr.upf
La 138.91 La.upf
Te 127.60 Te.upf
Tb 158.93 Tb.upf
ATOMIC_POSITIONS crystal
Pr 0.830 0.165 0.660
Pr 0.500 0.500 0.000
Pr 0.170 0.835 0.340
La 0.834 0.666 0.667
La 0.166 0.334 0.333
Te 0.338 0.920 0.676
Te 0.666 0.585 0.332
Te 0.998 0.240 0.996
Te 0.662 0.080 0.324
Te 0.002 0.760 0.004
Te 0.334 0.415 0.668
Tb 0.500 0.000 0.000
CELL_PARAMETERS angstrom
-3.629 2.587 0.653
-3.050 -2.187 -8.280
-2.115 -8.255 5.418
```

Summary:
**Energy**: -0.2001 Ha/atom
**SG**: No. 12
**E_form (uncorrected)**: -1471.1 meV per atom